(1)
Density functional theory data (GGA-PBE) for InAsSe2N after structural relaxation.

The structure belongs to space group P4/mmm (No. 123); the cell edges are 4.896, 4.896 and 4.130 Å and the angles 90.00°, 90.00° and 90.00°. The inequivalent atoms are In at (0.000, 0.000, 0.000), As at (0.500, 0.500, 0.000), Se at (0.000, 0.500, 0.500) and N at (0.500, 0.500, 0.500).

As for the total DFT energy (no corrections): -18.97 eV for the cell shown. The offset from the most stable computed form comes out at 0.175 eV per atom. The energy relative to the elements, uncorrected comes out at 0.74 eV/atom. The value obtained for the density of states at the Fermi level is 3.6 states/eV per cell. As for the size of the total moment: 0.00 μB per cell.

(2)
Density functional theory data (GGA-PBE) for TaIn2AsN after structural relaxation.

The structure belongs to space group P4/mmm (No. 123); the cell edges are 5.588, 5.588 and 3.501 Å and the angles 90.00°, 90.00° and 90.00°. The inequivalent atoms are Ta at (0.000, 0.000, 0.000), In at (0.000, 0.500, 0.500), As at (0.500, 0.500, 0.500) and N at (0.500, 0.500, 0.000).

As for the total DFT energy (no corrections): -24.01 eV for the cell shown. The energy relative to the elements, uncorrected comes out at 1.26 eV/atom. The value obtained for the density of states at the Fermi level is 4.6 states/eV per cell. As for the size of the total moment: 0.67 μB per cell.

(3)
Density functional theory data (GGA-PBE) for InTeAsN2 after structural relaxation.

The structure belongs to space group P4/mmm (No. 123); the cell edges are 4.035, 4.035 and 6.138 Å and the angles 90.00°, 90.00° and 90.00°. The inequivalent atoms are In at (0.000, 0.000, 0.000), Te at (0.500, 0.500, 0.000), As at (0.500, 0.500, 0.500) and N at (0.000, 0.500, 0.500).

As for the total DFT energy (no corrections): -21.00 eV for the cell shown. The offset from the most stable computed form comes out at 0.000 eV per atom. The energy relative to the elements, uncorrected comes out at 1.24 eV/atom. The value obtained for the density of states at the Fermi level is 2.5 states/eV per cell. As for the size of the total moment: 1.58 μB per cell.

(4)
Density functional theory data (GGA-PBE) for InTe2AsN after structural relaxation.

The structure belongs to space group P4/mmm (No. 123); the cell edges are 5.787, 5.787 and 4.027 Å and the angles 90.00°, 90.00° and 90.00°. The inequivalent atoms are In at (0.000, 0.000, 0.000), Te at (0.000, 0.500, 0.000), As at (0.500, 0.500, 0.500) and N at (0.000, 0.000, 0.500).

As for the total DFT energy (no corrections): -16.53 eV for the cell shown. The offset from the most stable computed form comes out at 0.480 eV per atom. The energy relative to the elements, uncorrected comes out at 1.09 eV/atom. The value obtained for the density of states at the Fermi level is 8.4 states/eV per cell. As for the size of the total moment: 0.00 μB per cell.

(5)
Density functional theory data (GGA-PBE) for InTe2AsN after structural relaxation.

The structure belongs to space group P4/mmm (No. 123); the cell edges are 5.875, 5.875 and 3.637 Å and the angles 90.00°, 90.00° and 90.00°. The inequivalent atoms are In at (0.000, 0.000, 0.000), Te at (0.000, 0.500, 0.500), As at (0.500, 0.500, 0.500) and N at (0.500, 0.500, 0.000).

As for the total DFT energy (no corrections): -18.93 eV for the cell shown. The offset from the most stable computed form comes out at 0.000 eV per atom. The energy relative to the elements, uncorrected comes out at 0.61 eV/atom. The value obtained for the density of states at the Fermi level is 4.2 states/eV per cell. As for the size of the total moment: 0.00 μB per cell.

(6)
Density functional theory data (GGA-PBE) for InTeAsN2 after structural relaxation.

The structure belongs to space group P4/mmm (No. 123); the cell edges are 4.321, 4.321 and 6.113 Å and the angles 90.00°, 90.00° and 90.00°. The inequivalent atoms are In at (0.000, 0.000, 0.000), Te at (0.000, 0.000, 0.500), As at (0.500, 0.500, 0.500) and N at (0.000, 0.500, 0.000).

As for the total DFT energy (no corrections): -19.53 eV for the cell shown. The offset from the most stable computed form comes out at 0.294 eV per atom. The energy relative to the elements, uncorrected comes out at 1.53 eV/atom. The value obtained for the density of states at the Fermi level is 2.3 states/eV per cell. As for the size of the total moment: 2.49 μB per cell.

(7)
Density functional theory data (GGA-PBE) for Ti2InAsN after structural relaxation.

The structure belongs to space group P4/mmm (No. 123); the cell edges are 5.139, 5.139 and 4.850 Å and the angles 90.00°, 90.00° and 90.00°. The inequivalent atoms are Ti at (0.000, 0.500, 0.000), In at (0.000, 0.000, 0.000), As at (0.000, 0.000, 0.500) and N at (0.500, 0.500, 0.500).

As for the total DFT energy (no corrections): -20.52 eV for the cell shown. The energy relative to the elements, uncorrected comes out at 2.20 eV/atom. The value obtained for the density of states at the Fermi level is 10.4 states/eV per cell. As for the size of the total moment: 0.00 μB per cell.

(8)
Density functional theory data (GGA-PBE) for ZnInAsN2 after structural relaxation.

The structure belongs to space group P4/mmm (No. 123); the cell edges are 3.900, 3.900 and 5.203 Å and the angles 90.00°, 90.00° and 90.00°. The inequivalent atoms are Zn at (0.000, 0.000, 0.000), In at (0.500, 0.500, 0.000), As at (0.000, 0.000, 0.500) and N at (0.000, 0.500, 0.500).

As for the total DFT energy (no corrections): -19.46 eV for the cell shown. The energy relative to the elements, uncorrected comes out at 1.17 eV/atom. The value obtained for the density of states at the Fermi level is 1.7 states/eV per cell. As for the size of the total moment: 0.00 μB per cell.

(9)
Density functional theory data (GGA-PBE) for NaInAs after structural relaxation.

The structure belongs to space group I4mm (No. 107); the cell edges are 3.818, 3.818 and 10.271 Å and the angles 90.00°, 90.00° and 90.00°. The inequivalent atoms are Na at (0.000, 0.000, 0.000), In at (0.000, 0.000, 0.699) and As at (0.000, 0.000, 0.312).

As for the total DFT energy (no corrections): -18.21 eV for the cell shown. The formation energy comes out at -0.13 eV per atom. The value obtained for the density of states at the Fermi level is 3.2 states/eV per cell. As for the size of the total moment: 0.00 μB per cell.

(10)
Density functional theory data (GGA-PBE) for NaIn2As2 after structural relaxation.

The structure belongs to space group P4/mbm (No. 127); the cell edges are 7.959, 7.959 and 3.791 Å and the angles 90.00°, 90.00° and 90.00°. The inequivalent atoms are Na at (0.000, 0.000, 0.000), In at (0.145, 0.355, 0.500) and As at (0.154, 0.654, 0.000).

As for the total DFT energy (no corrections): -33.13 eV for the cell shown. The formation energy comes out at -0.09 eV per atom. The value obtained for the density of states at the Fermi level is 3.2 states/eV per cell. As for the size of the total moment: 0.00 μB per cell.

(11)
Density functional theory data (GGA-PBE) for NaIn2As2 after structural relaxation.

The structure belongs to space group P-3m1 (No. 164); the cell edges are 4.6866, 4.6866 and 7.0498 Å and the angles 90.00°, 90.00° and 120.00°. The inequivalent atoms are Na at (0.0000, 0.0000, 0.0000), In at (0.3333, 0.6667, 0.3485) and As at (0.3333, 0.6667, 0.7515).

As for the total DFT energy (no corrections): -17.24 eV for the cell shown. The formation energy comes out at -0.23 eV per atom. The value obtained for the density of states at the Fermi level is 1.0 states/eV per cell. As for the size of the total moment: 0.00 μB per cell.

(12)
Density functional theory data (GGA-PBE) for Na3InAs after structural relaxation.

The structure belongs to space group Ima2 (No. 46); the cell edges are 10.370, 8.867 and 6.448 Å and the angles 90.00°, 90.00° and 90.00°. The inequivalent atoms are Na at (0.031, 0.249, 0.000), Na at (0.250, 0.031, 0.749), In at (0.250, 0.674, 0.750) and As at (0.250, 0.121, 0.250).

As for the total DFT energy (no corrections): -49.04 eV for the cell shown. The offset from the most stable computed form comes out at 0.000 eV per atom. The formation energy comes out at -0.18 eV per atom. The value obtained for the density of states at the Fermi level is 3.5 states/eV per cell. As for the size of the total moment: 0.00 μB per cell.

(13)
Density functional theory data (GGA-PBE) for Na2InAs after structural relaxation.

The structure belongs to space group I-42d (No. 122); the cell edges are 4.425, 4.425 and 21.115 Å and the angles 90.00°, 90.00° and 90.00°. The inequivalent atoms are Na at (0.227, 0.250, 0.125), In at (0.000, 0.000, 0.500) and As at (0.000, 0.000, 0.000).

As for the total DFT energy (no corrections): -40.33 eV for the cell shown. The offset from the most stable computed form comes out at 0.188 eV per atom. The formation energy comes out at -0.01 eV per atom. The value obtained for the density of states at the Fermi level is 8.3 states/eV per cell. As for the size of the total moment: 0.00 μB per cell.